No. 1
Ca2Ir2O7 | PBE | relaxed Values from VASP.

The structure in Quantum ESPRESSO input format:
```
&SYSTEM
  ibrav = 0, nat = 22, ntyp = 3
/
ATOMIC_SPECIES
Ca 40.08 Ca.upf
Ir 192.22 Ir.upf
O 16.00 O.upf
ATOMIC_POSITIONS crystal
Ca 0.0000 0.0000 0.0000
Ca 0.0000 0.0000 0.5000
Ca 0.0000 0.5000 0.0000
Ca 0.5000 0.0000 0.0000
Ir 0.0000 0.5000 0.5000
Ir 0.5000 0.0000 0.5000
Ir 0.5000 0.5000 0.0000
Ir 0.5000 0.5000 0.5000
O 0.1250 0.1250 0.1250
O 0.1770 0.1770 0.5730
O 0.1770 0.5730 0.1770
O 0.1770 0.5730 0.5730
O 0.4270 0.4270 0.8230
O 0.4270 0.8230 0.4270
O 0.4270 0.8230 0.8230
O 0.5730 0.1770 0.1770
O 0.5730 0.1770 0.5730
O 0.5730 0.5730 0.1770
O 0.8230 0.4270 0.4270
O 0.8230 0.4270 0.8230
O 0.8230 0.8230 0.4270
O 0.8750 0.8750 0.8750
CELL_PARAMETERS angstrom
0.0000 5.1542 5.1542
5.1542 0.0000 5.1542
5.1542 5.1542 0.0000
```

Its total energy is -6.75 eV/atom. The value obtained for the spin magnetization is 0.021 μB/cell. The volume is 273.8 Å³ per cell. For the density of states at the Fermi level, the calculation gives 22.71 states/eV per cell.

No. 2
SrSiBRh3 | PBE | relaxed Values from VASP.

The structure in Quantum ESPRESSO input format:
```
&SYSTEM
  ibrav = 0, nat = 12, ntyp = 4
/
ATOMIC_SPECIES
Sr 87.62 Sr.upf
Si 28.09 Si.upf
B 10.81 B.upf
Rh 102.91 Rh.upf
ATOMIC_POSITIONS crystal
Sr 0.2489 0.7511 0.7500
Sr 0.7511 0.2489 0.2500
Si 0.1092 0.8908 0.2500
Si 0.8908 0.1092 0.7500
B 0.4710 0.5290 0.2500
B 0.5290 0.4710 0.7500
Rh 0.2507 0.2507 0.0000
Rh 0.2507 0.2507 0.5000
Rh 0.3020 0.6980 0.2500
Rh 0.6980 0.3020 0.7500
Rh 0.7493 0.7493 0.0000
Rh 0.7493 0.7493 0.5000
CELL_PARAMETERS angstrom
2.9154 -6.0296 0.0000
2.9154 6.0296 0.0000
0.0000 0.0000 5.8046
```

Its total energy is -6.54 eV/atom. The value obtained for the spin magnetization is 0.000 μB/cell. The volume is 204.1 Å³ per cell. For the density of states at the Fermi level, the calculation gives 4.51 states/eV per cell.

No. 3
PuBiH8Rh2 | PBE | relaxed Values from VASP.

The structure in Quantum ESPRESSO input format:
```
&SYSTEM
  ibrav = 0, nat = 12, ntyp = 4
/
ATOMIC_SPECIES
Pu 244.00 Pu.upf
Bi 208.98 Bi.upf
H 1.01 H.upf
Rh 102.91 Rh.upf
ATOMIC_POSITIONS crystal
Pu 0.0000 0.0000 0.0000
Bi 0.5000 0.5000 0.5000
H 0.0299 0.0299 0.6106
H 0.0299 0.6106 0.0299
H 0.3165 0.3165 0.3165
H 0.3894 0.9701 0.9701
H 0.6106 0.0299 0.0299
H 0.6835 0.6835 0.6835
H 0.9701 0.3894 0.9701
H 0.9701 0.9701 0.3894
Rh 0.2200 0.2200 0.2200
Rh 0.7800 0.7800 0.7800
CELL_PARAMETERS angstrom
2.5042 1.4458 5.6682
-2.5042 1.4458 5.6682
0.0000 -2.8917 5.6682
```

Its total energy is -4.96 eV/atom. The value obtained for the spin magnetization is 5.539 μB/cell. The volume is 123.1 Å³ per cell. For the density of states at the Fermi level, the calculation gives 15.01 states/eV per cell.

No. 4
CePd3S4 | PBE | relaxed Values from VASP.

The structure in Quantum ESPRESSO input format:
```
&SYSTEM
  ibrav = 0, nat = 16, ntyp = 3
/
ATOMIC_SPECIES
Ce 140.12 Ce.upf
Pd 106.42 Pd.upf
S 32.06 S.upf
ATOMIC_POSITIONS crystal
Ce 0.0000 0.0000 0.0000
Ce 0.5000 0.5000 0.5000
Pd 0.0000 0.2500 0.5000
Pd 0.0000 0.7500 0.5000
Pd 0.2500 0.5000 0.0000
Pd 0.5000 0.0000 0.2500
Pd 0.5000 0.0000 0.7500
Pd 0.7500 0.5000 0.0000
S 0.2500 0.2500 0.2500
S 0.2500 0.2500 0.7500
S 0.2500 0.7500 0.2500
S 0.2500 0.7500 0.7500
S 0.7500 0.2500 0.2500
S 0.7500 0.2500 0.7500
S 0.7500 0.7500 0.2500
S 0.7500 0.7500 0.7500
CELL_PARAMETERS angstrom
6.7311 0.0000 0.0000
0.0000 6.7311 0.0000
0.0000 0.0000 6.7311
```

Its total energy is -5.68 eV/atom. The value obtained for the spin magnetization is 1.323 μB/cell. The volume is 305.0 Å³ per cell. For the density of states at the Fermi level, the calculation gives 13.53 states/eV per cell.

No. 5
CaOsW | PBE | relaxed Values from VASP.

The structure in Quantum ESPRESSO input format:
```
&SYSTEM
  ibrav = 0, nat = 3, ntyp = 3
/
ATOMIC_SPECIES
Ca 40.08 Ca.upf
Os 190.23 Os.upf
W 183.84 W.upf
ATOMIC_POSITIONS crystal
Ca 0.0000 0.0000 0.0000
Os 0.6667 0.3333 0.3881
W 0.3333 0.6667 0.6158
CELL_PARAMETERS angstrom
4.5696 0.0000 0.0000
-2.2848 3.9574 0.0000
0.0000 0.0000 2.9682
```

The energy above the most stable polymorph in this dataset is 284.6 meV per atom. The value obtained for the spin magnetization is 0.000 μB/cell. The formation energy comes out at 0.71 eV/atom. The volume is 53.7 Å³ per cell. For the density of states at the Fermi level, the calculation gives 2.65 states/eV per cell.

No. 6
K4AlPb4 | PBE | relaxed Values from VASP.

The structure in Quantum ESPRESSO input format:
```
&SYSTEM
  ibrav = 0, nat = 9, ntyp = 3
/
ATOMIC_SPECIES
K 39.10 K.upf
Al 26.98 Al.upf
Pb 207.20 Pb.upf
ATOMIC_POSITIONS crystal
K 0.0556 0.5954 0.0000
K 0.4046 0.4046 0.4601
K 0.5954 0.0556 0.0000
K 0.9444 0.9444 0.5399
Al 0.0000 0.0000 0.0000
Pb 0.2361 0.2361 0.5851
Pb 0.3490 0.7639 0.0000
Pb 0.6510 0.6510 0.4149
Pb 0.7639 0.3490 0.0000
CELL_PARAMETERS angstrom
-3.3389 3.3389 7.7891
3.3389 -3.3389 7.7891
3.3389 3.3389 -7.7891
```

The value obtained for the spin magnetization is 0.000 μB/cell. The formation energy comes out at -0.02 eV/atom. The volume is 347.3 Å³ per cell. For the density of states at the Fermi level, the calculation gives 4.50 states/eV per cell.

No. 7
PmNi4P2 | PBE | relaxed Values from VASP.

The structure in Quantum ESPRESSO input format:
```
&SYSTEM
  ibrav = 0, nat = 14, ntyp = 3
/
ATOMIC_SPECIES
Pm 145.00 Pm.upf
Ni 58.69 Ni.upf
P 30.97 P.upf
ATOMIC_POSITIONS crystal
Pm 0.0000 0.0000 0.0000
Pm 0.5000 0.5000 0.5000
Ni 0.0861 0.3390 0.5000
Ni 0.1610 0.5861 0.0000
Ni 0.3390 0.0861 0.5000
Ni 0.4139 0.8390 0.0000
Ni 0.5861 0.1610 0.0000
Ni 0.6610 0.9139 0.5000
Ni 0.8390 0.4139 0.0000
Ni 0.9139 0.6610 0.5000
P 0.2210 0.7790 0.5000
P 0.2790 0.2790 0.0000
P 0.7210 0.7210 0.0000
P 0.7790 0.2210 0.5000
CELL_PARAMETERS angstrom
7.1939 0.0000 0.0000
0.0000 7.1939 0.0000
0.0000 0.0000 3.6264
```

The value obtained for the spin magnetization is 0.000 μB/cell. The formation energy comes out at -0.78 eV/atom. The volume is 187.7 Å³ per cell. For the density of states at the Fermi level, the calculation gives 10.93 states/eV per cell.

No. 8
LiCuTc2N | PBE | relaxed Values from VASP.

The structure in Quantum ESPRESSO input format:
```
&SYSTEM
  ibrav = 0, nat = 5, ntyp = 4
/
ATOMIC_SPECIES
Li 6.94 Li.upf
Cu 63.55 Cu.upf
Tc 98.00 Tc.upf
N 14.01 N.upf
ATOMIC_POSITIONS crystal
Li 0.0000 0.0000 0.0000
Cu 0.5000 0.5000 0.0000
Tc 0.0000 0.5000 0.5000
Tc 0.5000 0.0000 0.5000
N 0.0000 0.0000 0.5000
CELL_PARAMETERS angstrom
3.9627 0.0000 0.0000
0.0000 3.9627 0.0000
0.0000 0.0000 3.8944
```

Its total energy is -6.98 eV/atom. The value obtained for the spin magnetization is 0.000 μB/cell. The volume is 61.2 Å³ per cell. For the density of states at the Fermi level, the calculation gives 4.19 states/eV per cell.

No. 9
MnReSnRu2 | PBE | relaxed Values from VASP.

The structure in Quantum ESPRESSO input format:
```
&SYSTEM
  ibrav = 0, nat = 5, ntyp = 4
/
ATOMIC_SPECIES
Mn 54.94 Mn.upf
Re 186.21 Re.upf
Sn 118.71 Sn.upf
Ru 101.07 Ru.upf
ATOMIC_POSITIONS crystal
Mn 0.0000 0.0000 0.0000
Re 0.5000 0.5000 0.5000
Sn 0.5000 0.5000 0.0000
Ru 0.0000 0.5000 0.5000
Ru 0.5000 0.0000 0.5000
CELL_PARAMETERS angstrom
4.6661 0.0000 0.0000
0.0000 4.6661 0.0000
0.0000 0.0000 5.0179
```

The value obtained for the spin magnetization is 0.377 μB/cell. The formation energy comes out at 1.92 eV/atom. The volume is 109.3 Å³ per cell. For the density of states at the Fermi level, the calculation gives 10.50 states/eV per cell.

No. 10
FeIrRu2 | PBE | relaxed Values from VASP.

The structure in Quantum ESPRESSO input format:
```
&SYSTEM
  ibrav = 0, nat = 8, ntyp = 3
/
ATOMIC_SPECIES
Fe 55.84 Fe.upf
Ir 192.22 Ir.upf
Ru 101.07 Ru.upf
ATOMIC_POSITIONS crystal
Fe 0.0000 0.0000 0.0000
Fe 0.5000 0.5000 0.5000
Ir 0.0000 0.0000 0.5000
Ir 0.5000 0.5000 0.0000
Ru 0.0000 0.5000 0.2500
Ru 0.0000 0.5000 0.7500
Ru 0.5000 0.0000 0.2500
Ru 0.5000 0.0000 0.7500
CELL_PARAMETERS angstrom
3.7580 0.0000 0.0000
0.0000 3.7580 0.0000
0.0000 0.0000 7.6603
```

The energy above the most stable polymorph in this dataset is 57.7 meV per atom. The value obtained for the spin magnetization is 3.795 μB/cell. The formation energy comes out at 0.06 eV/atom. The volume is 108.2 Å³ per cell. For the density of states at the Fermi level, the calculation gives 10.54 states/eV per cell.

No. 11
Pd3AuC | PBE | relaxed Values from VASP.

The structure in Quantum ESPRESSO input format:
```
&SYSTEM
  ibrav = 0, nat = 5, ntyp = 3
/
ATOMIC_SPECIES
Pd 106.42 Pd.upf
Au 196.97 Au.upf
C 12.01 C.upf
ATOMIC_POSITIONS crystal
Pd 0.0000 0.0000 0.5000
Pd 0.0000 0.5000 0.0000
Pd 0.5000 0.0000 0.0000
Au 0.5000 0.5000 0.5000
C 0.0000 0.0000 0.0000
CELL_PARAMETERS angstrom
4.1729 0.0000 0.0000
0.0000 4.1729 0.0000
0.0000 0.0000 4.1729
```

The energy above the most stable polymorph in this dataset is 0.0 meV per atom. The value obtained for the spin magnetization is 0.000 μB/cell. The formation energy comes out at 0.21 eV/atom. The volume is 72.7 Å³ per cell. For the density of states at the Fermi level, the calculation gives 6.54 states/eV per cell.

No. 12
Zn2BW | PBE | relaxed Values from VASP.

The structure in Quantum ESPRESSO input format:
```
&SYSTEM
  ibrav = 0, nat = 16, ntyp = 3
/
ATOMIC_SPECIES
Zn 65.41 Zn.upf
B 10.81 B.upf
W 183.84 W.upf
ATOMIC_POSITIONS crystal
Zn 0.2500 0.2500 0.2500
Zn 0.2500 0.2500 0.7500
Zn 0.2500 0.7500 0.2500
Zn 0.2500 0.7500 0.7500
Zn 0.7500 0.2500 0.2500
Zn 0.7500 0.2500 0.7500
Zn 0.7500 0.7500 0.2500
Zn 0.7500 0.7500 0.7500
B 0.0000 0.0000 0.0000
B 0.0000 0.5000 0.5000
B 0.5000 0.0000 0.5000
B 0.5000 0.5000 0.0000
W 0.0000 0.0000 0.5000
W 0.0000 0.5000 0.0000
W 0.5000 0.0000 0.0000
W 0.5000 0.5000 0.5000
CELL_PARAMETERS angstrom
6.0181 0.0000 0.0000
0.0000 6.0181 0.0000
0.0000 0.0000 6.0181
```

The energy above the most stable polymorph in this dataset is 796.0 meV per atom. The value obtained for the spin magnetization is 4.667 μB/cell. The formation energy comes out at 1.36 eV/atom. The volume is 218.0 Å³ per cell. For the density of states at the Fermi level, the calculation gives 13.17 states/eV per cell.